1.
LiCrRePt2: relaxed, GGA-PBE.

Computed properties:
ρ: 9.6 g/cm³
Formation energy from the elements: 844 meV/atom
Crystal system: tetragonal
Calculated total energy: -0.4681 Ry per atom
Total moment: 2.154 μB per cell

a = 4.9051 Å, b = 4.5490 Å, c = 4.9051 Å
α = 90.00°, β = 90.00°, γ = 90.00°
Closest atoms and distances in Å follow each position.
Atoms (fractional coordinates):
Re (0.0000, 0.0000, 0.0000)  2 Cr 2.27, 4 Pt 2.45
Cr (0.0000, 0.5000, 0.0000)  2 Re 2.27
Li (0.5000, 0.5000, 0.5000)  8 Pt 3.34, 4 Cr 3.47
Pt (0.5000, 0.0000, 0.0000)  2 Re 2.45
Pt (0.0000, 0.0000, 0.5000)  2 Re 2.45



2.
TcTe2WI: relaxed, GGA-PBE.

Computed properties:
Formation energy without anion corrections: 671 kJ/mol of formula units
ρ: 7.0 g/cm³
Crystal system: tetragonal
Calculated total energy: -0.3557 Ry per atom
Total moment: 4.004 μB per cell
Energy above the most stable polymorph in this dataset: 0.0 meV per atom

a = 5.2633 Å, b = 5.2633 Å, c = 5.6704 Å
α = 90.00°, β = 90.00°, γ = 90.00°
Closest atoms and distances in Å follow each position.
Atoms (fractional coordinates):
I (0.0000, 0.0000, 0.5000)  2 W 2.84
Te (0.0000, 0.5000, 0.0000)  2 W 2.63
Te (0.5000, 0.0000, 0.0000)  2 W 2.63
W (0.0000, 0.0000, 0.0000)  4 Te 2.63, 2 I 2.84
Tc (0.5000, 0.5000, 0.5000)  4 I 3.72, 8 Te 3.87



3.
PuZnO4: relaxed, GGA-PBE.

Computed properties:
Formation energy without anion corrections: -1219 kJ/mol of formula units
ρ: 7.9 g/cm³
Crystal system: orthorhombic
Calculated total energy: -0.5888 Ry per atom
Total moment: 4.000 μB per cell

a = 4.9868 Å, b = 5.1126 Å, c = 6.1626 Å
α = 90.00°, β = 90.00°, γ = 90.00°
Closest atoms and distances in Å follow each position.
Atoms (fractional coordinates):
Zn (0.0000, 0.5000, 0.1827)  4 O 2.01-2.06
O (0.7252, 0.1841, 0.6148)  1 Zn 2.01, 2 Pu 2.18-2.22
O (0.2746, 0.2989, 0.3673)  1 Pu 1.90, 1 Zn 2.06
O (0.2254, 0.2989, 0.8673)  1 Pu 1.90, 1 Zn 2.06
Zn (0.5000, 0.5000, 0.6827)  4 O 2.01-2.06
Pu (0.5000, 0.0000, 0.3530)  2 O 1.90
O (0.7748, 0.1841, 0.1148)  1 Zn 2.01, 2 Pu 2.18-2.22
O (0.7746, 0.7011, 0.8673)  1 Pu 1.90, 1 Zn 2.06
O (0.7254, 0.7011, 0.3673)  1 Pu 1.90, 1 Zn 2.06
O (0.2748, 0.8159, 0.6148)  1 Zn 2.01, 2 Pu 2.18-2.22
O (0.2252, 0.8159, 0.1148)  1 Zn 2.01, 2 Pu 2.18-2.22
Pu (0.0000, 0.0000, 0.8530)  2 O 1.90



4.
Y2GaF: relaxed, GGA-PBE.

Computed properties:
Formation energy without anion corrections: -456 kJ/mol of formula units
ρ: 4.3 g/cm³
Crystal system: tetragonal
Calculated total energy: -0.4144 Ry per atom
Total moment: 0.000 μB per cell
Energy above the most stable polymorph in this dataset: 0.0 meV per atom

a = 5.6567 Å, b = 5.6567 Å, c = 7.5227 Å
α = 67.92°, β = 67.92°, γ = 90.00°
Closest atoms and distances in Å follow each position.
Atoms (fractional coordinates):
Y (0.8750, 0.8110, 0.7500)  2 F 2.38
F (0.2500, 0.7500, 0.5000)  4 Y 2.38
Ga (0.0000, 0.0000, 0.0000)  4 Y 2.77
Y (0.1890, 0.6250, 0.2500)  2 F 2.38
Ga (0.7500, 0.2500, 0.5000)  4 Y 2.77
F (0.5000, 0.5000, 0.0000)  4 Y 2.38
Y (0.3750, 0.4390, 0.7500)  2 F 2.38
Y (0.5610, 0.1250, 0.2500)  2 F 2.38



5.
InTe2WN: relaxed, GGA-PBE.

Computed properties:
Formation energy without anion corrections: 78 kJ/mol of formula units
ρ: 7.7 g/cm³
Crystal system: tetragonal
Calculated total energy: -0.4335 Ry per atom
Total moment: 0.000 μB per cell
Energy above the most stable polymorph in this dataset: 0.0 meV per atom

a = 5.6320 Å, b = 5.6320 Å, c = 3.8631 Å
α = 90.00°, β = 90.00°, γ = 90.00°
Closest atoms and distances in Å follow each position.
Atoms (fractional coordinates):
In (0.5000, 0.5000, 0.5000)  8 Te 3.41
Te (0.5000, 0.0000, 0.0000)  2 W 2.82
W (0.0000, 0.0000, 0.0000)  2 N 1.93
N (0.0000, 0.0000, 0.5000)  2 W 1.93
Te (0.0000, 0.5000, 0.0000)  2 W 2.82



6.
Pm8TmGe6: relaxed, GGA-PBE.

Computed properties:
ρ: 7.0 g/cm³
Formation energy from the elements: -646 meV/atom
Crystal system: trigonal
Calculated total energy: -0.3913 Ry per atom
Total moment: 0.000 μB per cell

a = 8.8004 Å, b = 8.8004 Å, c = 8.0701 Å
α = 56.96°, β = 56.96°, γ = 60.00°
Closest atoms and distances in Å follow each position.
Atoms (fractional coordinates):
Pm (0.6661, 0.6661, 0.0018)  6 Ge 3.22-3.23, 6 Pm 3.51
Pm (0.8977, 0.5607, 0.3096)  5 Ge 2.99-3.22
Ge (0.7404, 0.3956, 0.7955)  7 Pm 2.99-3.23, 1 Tm 3.16
Ge (0.9315, 0.2596, 0.2045)  7 Pm 2.99-3.23, 1 Tm 3.16
Pm (0.7679, 0.1023, 0.6904)  5 Ge 2.99-3.22
Ge (0.2596, 0.6044, 0.2045)  7 Pm 2.99-3.23, 1 Tm 3.16
Ge (0.3956, 0.0685, 0.7955)  7 Pm 2.99-3.23, 1 Tm 3.16
Ge (0.0685, 0.7404, 0.7955)  7 Pm 2.99-3.23, 1 Tm 3.16
Pm (0.4393, 0.7679, 0.6904)  5 Ge 2.99-3.22
Pm (0.5607, 0.2321, 0.3096)  5 Ge 2.99-3.22
Pm (0.3339, 0.3339, 0.9982)  6 Ge 3.22-3.23, 6 Pm 3.51
Ge (0.6044, 0.9315, 0.2045)  7 Pm 2.99-3.23, 1 Tm 3.16
Pm (0.2321, 0.8977, 0.3096)  5 Ge 2.99-3.22
Pm (0.1023, 0.4393, 0.6904)  5 Ge 2.99-3.22
Tm (0.0000, 0.0000, 0.0000)  6 Ge 3.16



7.
Pr3SiAg: relaxed, GGA-PBE.

Computed properties:
Formation energy without anion corrections: -161 kJ/mol of formula units
ρ: 6.6 g/cm³
Crystal system: monoclinic
Calculated total energy: -0.3569 Ry per atom
Total moment: 0.000 μB per cell
Energy above the most stable polymorph in this dataset: 0.0 meV per atom

a = 8.5428 Å, b = 7.1331 Å, c = 9.3935 Å
α = 98.90°, β = 90.00°, γ = 90.00°
Closest atoms and distances in Å follow each position.
Atoms (fractional coordinates):
Pr (0.9996, 0.8045, 0.3801)  3 Ag 2.99-3.09, 1 Si 3.04, 1 Pr 3.30
Pr (0.3042, 0.5336, 0.1138)  4 Si 3.03-3.25
Pr (0.1374, 0.6743, 0.7738)  3 Si 3.07-3.29, 2 Ag 3.30-3.37, 1 Pr 3.43
Pr (0.8626, 0.3257, 0.2262)  3 Si 3.07-3.29, 2 Ag 3.30-3.37, 1 Pr 3.43
Ag (0.6744, 0.0533, 0.5585)  4 Pr 2.99-3.30, 1 Ag 3.23
Pr (0.4996, 0.6955, 0.6199)  3 Ag 2.99-3.09, 1 Si 3.04, 1 Pr 3.30
Si (0.4619, 0.8296, 0.9412)  1 Si 2.59
Pr (0.5004, 0.3045, 0.3801)  3 Ag 2.99-3.09, 1 Si 3.04, 1 Pr 3.30
Si (0.5381, 0.1704, 0.0588)  1 Si 2.59
Si (0.0381, 0.3296, 0.9412)  1 Si 2.59
Pr (0.6958, 0.4664, 0.8862)  4 Si 3.03-3.25
Pr (0.8042, 0.9664, 0.8862)  4 Si 3.03-3.25
Si (0.9619, 0.6704, 0.0588)  1 Si 2.59
Pr (0.0004, 0.1955, 0.6199)  3 Ag 2.99-3.09, 1 Si 3.04, 1 Pr 3.30
Ag (0.8256, 0.5533, 0.5585)  4 Pr 2.99-3.30, 1 Ag 3.23
Pr (0.3626, 0.1743, 0.7738)  3 Si 3.07-3.29, 2 Ag 3.30-3.37, 1 Pr 3.43
Ag (0.3256, 0.9467, 0.4415)  4 Pr 2.99-3.30, 1 Ag 3.23
Pr (0.6374, 0.8257, 0.2262)  3 Si 3.07-3.29, 2 Ag 3.30-3.37, 1 Pr 3.43
Ag (0.1744, 0.4467, 0.4415)  4 Pr 2.99-3.30, 1 Ag 3.23
Pr (0.1958, 0.0336, 0.1138)  4 Si 3.03-3.25



8.
HfZr2IrO: relaxed, GGA-PBE.

Computed properties:
Formation energy without anion corrections: -610 kJ/mol of formula units
ρ: 11.2 g/cm³
Crystal system: tetragonal
Calculated total energy: -0.6937 Ry per atom
Total moment: 0.000 μB per cell

a = 4.4158 Å, b = 4.4158 Å, c = 4.3376 Å
α = 90.00°, β = 90.00°, γ = 90.00°
Closest atoms and distances in Å follow each position.
Atoms (fractional coordinates):
O (0.0000, 0.0000, 0.0000)  2 Hf 2.17, 4 Zr 2.21
Hf (0.0000, 0.0000, 0.5000)  2 O 2.17
Zr (0.0000, 0.5000, 0.0000)  2 O 2.21
Zr (0.5000, 0.0000, 0.0000)  2 O 2.21
Ir (0.5000, 0.5000, 0.5000)  8 Zr 3.09, 4 Hf 3.12



9.
Cs2TiAuCl6: relaxed, GGA-PBE.

Computed properties:
Formation energy without anion corrections: -1398 kJ/mol of formula units
ρ: 3.8 g/cm³
Crystal system: tetragonal
Calculated total energy: -0.2826 Ry per atom
Total moment: 1.000 μB per cell

a = 8.0085 Å, b = 8.0085 Å, c = 7.4839 Å
α = 57.65°, β = 57.65°, γ = 90.00°
Closest atoms and distances in Å follow each position.
Atoms (fractional coordinates):
Cl (0.7122, 0.7122, 0.0000)  1 Ti 2.40
Cl (0.7611, 0.7611, 0.4777)  1 Au 2.34, 1 Ti 2.56
Cs (0.7500, 0.2500, 0.5000)  12 Cl 3.77-4.01
Cl (0.7122, 0.2878, 0.0000)  1 Ti 2.40
Cl (0.2878, 0.7122, 0.0000)  1 Ti 2.40
Ti (0.5000, 0.5000, 0.0000)  6 Cl 2.40-2.56
Cl (0.2878, 0.2878, 0.0000)  1 Ti 2.40
Au (0.0000, 0.0000, 0.0000)  2 Cl 2.34
Cl (0.2389, 0.2389, 0.5223)  1 Au 2.34, 1 Ti 2.56
Cs (0.2500, 0.7500, 0.5000)  12 Cl 3.77-4.01



10.
BaAcMgO4: relaxed, GGA-PBE.

Computed properties:
Formation energy without anion corrections: -1759 kJ/mol of formula units
ρ: 6.9 g/cm³
Crystal system: orthorhombic
Calculated total energy: -0.4797 Ry per atom
Total moment: 1.992 μB per cell

a = 5.6540 Å, b = 5.7074 Å, c = 7.3047 Å
α = 90.00°, β = 112.77°, γ = 90.00°
Closest atoms and distances in Å follow each position.
Atoms (fractional coordinates):
O (0.5000, 0.0000, 0.5000)  2 Mg 2.01
Ac (0.6148, 0.7500, 0.2296)  5 O 2.50-2.71
Ba (0.8949, 0.7500, 0.7898)  9 O 2.62-2.86
O (0.5707, 0.2500, 0.1415)  1 Mg 2.42, 1 Ac 2.50
O (0.0000, 0.0000, 0.5000)  2 Mg 2.01
O (0.0896, 0.7500, 0.1793)  1 Mg 2.16
Ac (0.3852, 0.2500, 0.7704)  5 O 2.50-2.71
O (0.9104, 0.2500, 0.8207)  1 Mg 2.16
Mg (0.2499, 0.7500, 0.4998)  5 O 2.01-2.16
O (0.4293, 0.7500, 0.8585)  1 Mg 2.42, 1 Ac 2.50
O (0.5000, 0.5000, 0.5000)  2 Mg 2.01
Ba (0.1051, 0.2500, 0.2102)  9 O 2.62-2.86
O (0.0000, 0.5000, 0.5000)  2 Mg 2.01
Mg (0.7501, 0.2500, 0.5002)  5 O 2.01-2.16



11.
Zn2NiRu: relaxed, GGA-PBE.

Computed properties:
ρ: 9.1 g/cm³
Formation energy from the elements: 47 meV/atom
Crystal system: cubic
Calculated total energy: -0.3201 Ry per atom
Total moment: 1.027 μB per cell

a = 4.2129 Å, b = 4.2129 Å, c = 4.2129 Å
α = 60.00°, β = 60.00°, γ = 60.00°
Closest atoms and distances in Å follow each position.
Atoms (fractional coordinates):
Zn (0.0000, 0.0000, 0.0000)  4 Zn 2.58, 4 Ru 2.58
Ni (0.5000, 0.5000, 0.5000)  4 Ru 2.58, 4 Zn 2.58
Ru (0.7500, 0.7500, 0.7500)  4 Zn 2.58, 4 Ni 2.58
Zn (0.2500, 0.2500, 0.2500)  4 Ni 2.58, 4 Zn 2.58



12.
Co3BIr: relaxed, GGA-PBE.

Computed properties:
ρ: 6.7 g/cm³
Formation energy from the elements: 2170 meV/atom
Crystal system: cubic
Calculated total energy: -0.3823 Ry per atom
Total moment: 6.283 μB per cell
Energy above the most stable polymorph in this dataset: 1968.3 meV per atom

a = 4.5445 Å, b = 4.5445 Å, c = 4.5445 Å
α = 90.00°, β = 90.00°, γ = 90.00°
Closest atoms and distances in Å follow each position.
Atoms (fractional coordinates):
Co (0.0000, 0.0000, 0.5000)  2 Ir 2.27
Ir (0.0000, 0.0000, 0.0000)  6 Co 2.27
Co (0.5000, 0.0000, 0.0000)  2 Ir 2.27
Co (0.0000, 0.5000, 0.0000)  2 Ir 2.27
B (0.5000, 0.5000, 0.5000)  12 Co 3.21